Material: Pu2PbO11
Method: DFT, PBE
State: optimized geometry

Calculated volume   18.13 A^3/atom
Calculated density   5698 kg/m3
Final energy   -7.664 eV/atom
Uncorrected formation energy   -20.38 eV per formula unit
SG   P1 (1)

Cell and atoms, written as POSCAR:
```
Pu2PbO11
1.0
7.811 -0.067 3.919
3.552 7.504 2.519
0.233 -0.097 8.735
Pu Pb O
4 2 22
Cartesian
8.555 5.506 7.093
3.250 1.849 8.066
6.882 1.830 10.233
4.407 5.676 4.976
8.744 5.529 11.430
2.801 1.850 3.748
8.307 5.344 8.928
3.563 1.998 6.261
2.181 3.350 8.039
6.634 0.189 9.446
9.177 3.749 6.993
4.622 7.435 5.525
5.911 5.883 3.926
5.355 1.612 11.231
6.198 3.263 7.292
7.947 0.348 12.150
10.551 6.177 7.628
1.320 0.123 7.928
5.445 3.024 8.457
6.159 4.545 6.892
7.585 7.089 7.062
4.172 0.255 8.079
2.970 1.735 9.879
8.478 1.998 9.324
8.931 5.753 5.289
3.148 5.377 6.312
4.138 3.986 4.257
7.158 3.458 11.042
```